# PBE-GGA Rb2Ca2PuO6, optimized geometry
data_Rb2Ca2PuO6
_cell_length_a 6.056
_cell_length_b 10.285
_cell_length_c 6.940
_cell_angle_alpha 90.00
_cell_angle_beta 107.76
_cell_angle_gamma 90.00
_symmetry_space_group_name_H-M 'C 1 2/m 1'
_symmetry_Int_Tables_number 12
loop_
_symmetry_equiv_pos_as_xyz
'x,y,z'
'-x,-y,-z'
'-x,y,-z'
'x,-y,z'
'x+1/2,y+1/2,z'
'-x+1/2,-y+1/2,-z'
'-x+1/2,y+1/2,-z'
'x+1/2,-y+1/2,z'
loop_
_atom_site_label
_atom_site_type_symbol
_atom_site_fract_x
_atom_site_fract_y
_atom_site_fract_z
Rb1 Rb 0.000 0.173 0.000
Ca1 Ca 0.000 0.336 0.500
Pu1 Pu 0.000 0.000 0.500
O1 O 0.203 0.151 0.668
O2 O 0.232 0.000 0.331
# - ΔE_f (raw) (eV per atom) = -2.51
# - final energy (eV/atom) = -7.05